[1]
# YBeAg2

YBeAg2 after structural relaxation (PBE-GGA, the Alexandria database).

Cell: 5.711 5.711 3.325 Å, 105.16 105.16 120.42°
Fractional positions:
Y: 0.000 0.000 0.000
Be: 0.500 0.500 0.000
Ag: 0.000 0.500 0.500
Ag: 0.500 0.000 0.500

- total magnetic moment (μB per formula unit) = 0.0
- calculated volume (Å³ per cell) = 80
- formation energy from the elements (eV/f.u.) = 1.17

***

[2]
# LaYIrPd

LaYIrPd after structural relaxation (PBE-GGA, the Alexandria database).

Cell: 5.029 5.029 5.029 Å, 60.00 60.00 60.00°
Fractional positions:
La: 0.000 0.000 0.000
Y: 0.500 0.500 0.500
Ir: 0.750 0.750 0.750
Pd: 0.250 0.250 0.250

- total magnetic moment (μB per formula unit) = 0.0
- calculated volume (Å³ per cell) = 90
- formation energy from the elements (eV/f.u.) = -3.05

***

Please write out number 2 again, unchanged.
# LaYIrPd

LaYIrPd after structural relaxation (PBE-GGA, the Alexandria database).

Cell: 5.029 5.029 5.029 Å, 60.00 60.00 60.00°
Fractional positions:
La: 0.000 0.000 0.000
Y: 0.500 0.500 0.500
Ir: 0.750 0.750 0.750
Pd: 0.250 0.250 0.250

- total magnetic moment (μB per formula unit) = 0.0
- calculated volume (Å³ per cell) = 90
- formation energy from the elements (eV/f.u.) = -3.05